1.
Computed, not measured: a relaxed Ac3Ni4Sn2 crystal at the GGA-PBE level of DFT.

Cell: 5.902 5.902 8.755 Å, 97.46 97.46 44.16°
Sites, in units of the cell vectors:
Ac1 0.000 0.000 0.000
Ac2 0.373 0.373 0.621
Ac3 0.627 0.627 0.379
Ni1 0.077 0.077 0.626
Ni2 0.258 0.258 0.918
Ni3 0.742 0.742 0.082
Ni4 0.923 0.923 0.374
Sn1 0.328 0.328 0.214
Sn2 0.672 0.672 0.786

Space group = C2/m, No. 12
ΔH_f (0 K) = -0.44 eV per atom

2.
Computed, not measured: a relaxed Ac2NiSn8 crystal at the GGA-PBE level of DFT.

Cell: 4.848 4.848 12.915 Å, 90.00 90.00 90.00°
Sites, in units of the cell vectors:
Ac1 0.000 0.000 0.193
Ac2 0.000 0.000 0.807
Ni1 0.000 0.000 0.500
Sn1 0.000 0.500 0.000
Sn2 0.000 0.500 0.385
Sn3 0.000 0.500 0.615
Sn4 0.500 0.000 0.000
Sn5 0.500 0.000 0.385
Sn6 0.500 0.000 0.615
Sn7 0.500 0.500 0.195
Sn8 0.500 0.500 0.805

Space group = P4/mmm, No. 123
ΔH_f (0 K) = -0.36 eV per atom

3.
Computed, not measured: a relaxed AcNi2Sn4 crystal at the GGA-PBE level of DFT.

Cell: 7.029 7.029 4.949 Å, 90.00 90.00 138.37°
Sites, in units of the cell vectors:
Ac1 0.000 0.000 0.000
Ni1 0.399 0.601 0.500
Ni2 0.601 0.399 0.500
Sn1 0.176 0.824 0.500
Sn2 0.323 0.677 0.000
Sn3 0.677 0.323 0.000
Sn4 0.824 0.176 0.500

Energy above the lowest structure with this stoichiometry = 129.1 meV/atom
Space group = Cmmm, No. 65
ΔH_f (0 K) = -0.22 eV per atom

4.
Computed, not measured: a relaxed AcNi4Sn6 crystal at the GGA-PBE level of DFT.

Cell: 7.876 7.876 4.151 Å, 90.00 90.00 120.00°
Sites, in units of the cell vectors:
Ac1 0.000 0.000 0.000
Ni1 0.210 0.420 0.500
Ni2 0.210 0.790 0.500
Ni3 0.580 0.790 0.500
Ni4 0.667 0.333 0.000
Sn1 0.068 0.534 0.000
Sn2 0.390 0.195 0.500
Sn3 0.466 0.534 0.000
Sn4 0.466 0.932 0.000
Sn5 0.805 0.195 0.500
Sn6 0.805 0.610 0.500

Space group = P-6m2, No. 187
ΔH_f (0 K) = -0.25 eV per atom

5.
Computed, not measured: a relaxed AcNi4Sn12 crystal at the GGA-PBE level of DFT.

Cell: 8.055 8.055 8.055 Å, 109.47 109.47 109.47°
Sites, in units of the cell vectors:
Ac1 0.000 0.000 0.000
Ni1 0.000 0.000 0.500
Ni2 0.000 0.500 0.000
Ni3 0.500 0.000 0.000
Ni4 0.500 0.500 0.500
Sn1 0.169 0.340 0.509
Sn2 0.169 0.660 0.829
Sn3 0.171 0.831 0.340
Sn4 0.340 0.171 0.831
Sn5 0.340 0.509 0.169
Sn6 0.491 0.831 0.660
Sn7 0.509 0.169 0.340
Sn8 0.660 0.491 0.831
Sn9 0.660 0.829 0.169
Sn10 0.829 0.169 0.660
Sn11 0.831 0.340 0.171
Sn12 0.831 0.660 0.491

Space group = Im-3, No. 204
ΔH_f (0 K) = -0.24 eV per atom

6.
Computed, not measured: a relaxed AcNiSn3 crystal at the GGA-PBE level of DFT.

Cell: 4.887 4.887 6.357 Å, 112.51 112.51 89.94°
Sites, in units of the cell vectors:
Ac1 0.000 0.000 0.000
Ni1 0.674 0.674 0.347
Sn1 0.258 0.759 0.515
Sn2 0.437 0.437 0.874
Sn3 0.759 0.258 0.515

Energy above the lowest structure with this stoichiometry = 0.0 meV/atom
Space group = Cm, No. 8
ΔH_f (0 K) = -0.50 eV per atom

7.
Computed, not measured: a relaxed Ac3Ni4Sn4 crystal at the GGA-PBE level of DFT.

Cell: 13.148 13.148 4.694 Å, 98.07 98.07 19.68°
Sites, in units of the cell vectors:
Ac1 0.000 0.000 0.000
Ac2 0.346 0.346 0.875
Ac3 0.654 0.654 0.125
Ni1 0.104 0.104 0.564
Ni2 0.248 0.248 0.174
Ni3 0.752 0.752 0.826
Ni4 0.896 0.896 0.436
Sn1 0.205 0.205 0.649
Sn2 0.443 0.443 0.452
Sn3 0.557 0.557 0.548
Sn4 0.795 0.795 0.351

Space group = C2/m, No. 12
ΔH_f (0 K) = -0.53 eV per atom

8.
Computed, not measured: a relaxed AcNi2Sn crystal at the GGA-PBE level of DFT.

Cell: 4.435 4.435 10.233 Å, 90.00 90.00 120.00°
Sites, in units of the cell vectors:
Ac1 0.333 0.667 0.250
Ac2 0.667 0.333 0.750
Ni1 0.333 0.667 0.544
Ni2 0.333 0.667 0.956
Ni3 0.667 0.333 0.044
Ni4 0.667 0.333 0.456
Sn1 0.000 0.000 0.000
Sn2 0.000 0.000 0.500

Space group = P6_3/mmc, No. 194
ΔH_f (0 K) = -0.44 eV per atom

9.
Computed, not measured: a relaxed AcNi6Sn6 crystal at the GGA-PBE level of DFT.

Cell: 7.085 7.085 7.085 Å, 134.12 102.60 94.92°
Sites, in units of the cell vectors:
Ac1 0.000 0.000 0.000
Ni1 0.000 0.000 0.500
Ni2 0.000 0.500 0.000
Ni3 0.248 0.500 0.748
Ni4 0.500 0.000 0.000
Ni5 0.500 0.500 0.500
Ni6 0.752 0.500 0.252
Sn1 0.179 0.679 0.500
Sn2 0.342 0.342 0.000
Sn3 0.343 0.000 0.343
Sn4 0.657 0.000 0.657
Sn5 0.658 0.658 0.000
Sn6 0.821 0.321 0.500

Space group = Immm, No. 71
ΔH_f (0 K) = -0.23 eV per atom

10.
Computed, not measured: a relaxed Ac7Ni2Sn2 crystal at the GGA-PBE level of DFT.

Cell: 7.492 7.492 7.497 Å, 90.00 90.00 110.18°
Sites, in units of the cell vectors:
Ac1 0.000 0.000 0.000
Ac2 0.000 0.500 0.253
Ac3 0.000 0.500 0.747
Ac4 0.500 0.000 0.253
Ac5 0.500 0.000 0.747
Ac6 0.500 0.500 0.233
Ac7 0.500 0.500 0.767
Ni1 0.289 0.711 0.000
Ni2 0.711 0.289 0.000
Sn1 0.170 0.170 0.500
Sn2 0.830 0.830 0.500

Space group = Cmmm, No. 65
ΔH_f (0 K) = -0.24 eV per atom

11.
Computed, not measured: a relaxed Ac12Ni6Sn crystal at the GGA-PBE level of DFT.

Cell: 9.267 9.267 9.267 Å, 109.47 109.47 109.47°
Sites, in units of the cell vectors:
Ac1 0.130 0.818 0.312
Ac2 0.182 0.312 0.493
Ac3 0.182 0.688 0.870
Ac4 0.312 0.130 0.818
Ac5 0.312 0.493 0.182
Ac6 0.493 0.182 0.312
Ac7 0.507 0.818 0.688
Ac8 0.688 0.507 0.818
Ac9 0.688 0.870 0.182
Ac10 0.818 0.312 0.130
Ac11 0.818 0.688 0.507
Ac12 0.870 0.182 0.688
Ni1 0.118 0.618 0.500
Ni2 0.382 0.500 0.882
Ni3 0.500 0.118 0.618
Ni4 0.500 0.882 0.382
Ni5 0.618 0.500 0.118
Ni6 0.882 0.382 0.500
Sn1 0.000 0.000 0.000

Space group = Im-3, No. 204
ΔH_f (0 K) = -0.27 eV per atom

12.
Computed, not measured: a relaxed Ac3NiSn2 crystal at the GGA-PBE level of DFT.

Cell: 13.057 4.705 12.869 Å, 90.00 90.00 90.00°
Sites, in units of the cell vectors:
Ac1 0.059 0.250 0.126
Ac2 0.115 0.750 0.551
Ac3 0.226 0.250 0.798
Ac4 0.274 0.750 0.298
Ac5 0.385 0.250 0.051
Ac6 0.441 0.750 0.626
Ac7 0.559 0.250 0.374
Ac8 0.615 0.750 0.949
Ac9 0.726 0.250 0.702
Ac10 0.774 0.750 0.202
Ac11 0.885 0.250 0.449
Ac12 0.941 0.750 0.874
Ni1 0.125 0.250 0.364
Ni2 0.375 0.750 0.864
Ni3 0.625 0.250 0.136
Ni4 0.875 0.750 0.636
Sn1 0.019 0.750 0.310
Sn2 0.200 0.750 0.991
Sn3 0.300 0.250 0.491
Sn4 0.481 0.250 0.810
Sn5 0.519 0.750 0.190
Sn6 0.700 0.750 0.509
Sn7 0.800 0.250 0.009
Sn8 0.981 0.250 0.690

Energy above the lowest structure with this stoichiometry = 0.0 meV/atom
Space group = Pnma, No. 62
ΔH_f (0 K) = -0.59 eV per atom

13.
Computed, not measured: a relaxed AcNi2Sn crystal at the GGA-PBE level of DFT.

Cell: 5.542 4.168 7.392 Å, 90.00 90.00 90.00°
Sites, in units of the cell vectors:
Ac1 0.250 0.000 0.216
Ac2 0.750 0.000 0.784
Ni1 0.000 0.500 0.500
Ni2 0.250 0.000 0.598
Ni3 0.500 0.500 0.500
Ni4 0.750 0.000 0.402
Sn1 0.250 0.500 0.809
Sn2 0.750 0.500 0.191

Space group = Pmma, No. 51
ΔH_f (0 K) = -0.44 eV per atom

14.
Computed, not measured: a relaxed Ac3Ni2Sn4 crystal at the GGA-PBE level of DFT.

Cell: 6.547 6.547 9.134 Å, 98.74 98.74 41.81°
Sites, in units of the cell vectors:
Ac1 0.000 0.000 0.000
Ac2 0.346 0.346 0.343
Ac3 0.654 0.654 0.657
Ni1 0.402 0.402 0.717
Ni2 0.598 0.598 0.283
Sn1 0.067 0.067 0.377
Sn2 0.280 0.280 0.917
Sn3 0.720 0.720 0.083
Sn4 0.933 0.933 0.623

Energy above the lowest structure with this stoichiometry = 0.0 meV/atom
Space group = C2/m, No. 12
ΔH_f (0 K) = -0.61 eV per atom

15.
Computed, not measured: a relaxed Ac2Ni3Sn5 crystal at the GGA-PBE level of DFT.

Cell: 9.127 9.127 9.127 Å, 108.35 86.84 137.77°
Sites, in units of the cell vectors:
Ac1 0.134 0.249 0.382
Ac2 0.366 0.749 0.115
Ac3 0.634 0.251 0.885
Ac4 0.866 0.751 0.618
Ni1 0.128 0.884 0.012
Ni2 0.250 0.750 0.500
Ni3 0.372 0.384 0.756
Ni4 0.628 0.616 0.244
Ni5 0.750 0.250 0.500
Ni6 0.872 0.116 0.988
Sn1 0.003 0.250 0.753
Sn2 0.100 0.646 0.746
Sn3 0.250 0.250 0.000
Sn4 0.400 0.146 0.547
Sn5 0.497 0.250 0.247
Sn6 0.503 0.750 0.753
Sn7 0.600 0.854 0.453
Sn8 0.750 0.750 0.000
Sn9 0.900 0.354 0.254
Sn10 0.997 0.750 0.247

Energy above the lowest structure with this stoichiometry = 0.0 meV/atom
Space group = Ibam, No. 72
ΔH_f (0 K) = -0.52 eV per atom

16.
Computed, not measured: a relaxed Ac3Ni6Sn5 crystal at the GGA-PBE level of DFT.

Cell: 8.623 8.623 8.623 Å, 150.66 101.47 85.95°
Sites, in units of the cell vectors:
Ac1 0.000 0.000 0.000
Ac2 0.297 0.297 0.000
Ac3 0.703 0.703 0.000
Ni1 0.185 0.890 0.295
Ni2 0.336 0.500 0.836
Ni3 0.405 0.110 0.295
Ni4 0.595 0.890 0.705
Ni5 0.664 0.500 0.164
Ni6 0.815 0.110 0.705
Sn1 0.020 0.335 0.685
Sn2 0.349 0.665 0.685
Sn3 0.500 0.000 0.500
Sn4 0.651 0.335 0.315
Sn5 0.980 0.665 0.315

Space group = Immm, No. 71
ΔH_f (0 K) = -0.43 eV per atom

17.
Computed, not measured: a relaxed Ac2NiSn2 crystal at the GGA-PBE level of DFT.

Cell: 6.439 6.439 11.754 Å, 115.54 115.54 42.46°
Sites, in units of the cell vectors:
Ac1 0.000 0.000 0.163
Ac2 0.000 0.000 0.837
Ac3 0.192 0.192 0.620
Ac4 0.808 0.808 0.380
Ni1 0.288 0.288 0.162
Ni2 0.712 0.712 0.838
Sn1 0.323 0.323 0.942
Sn2 0.486 0.486 0.624
Sn3 0.514 0.514 0.376
Sn4 0.677 0.677 0.058

Space group = C2/m, No. 12
ΔH_f (0 K) = -0.59 eV per atom

| no. | size of the total moment (μB/f.u.) | Fermi-level density of states (states/eV/cell) |
| --- | --- | --- |
| 1 | 0.00 | 7.0 |
| 2 | 0.00 | 6.0 |
| 3 | 0.00 | 2.5 |
| 4 | 0.00 | 4.6 |
| 5 | 0.00 | 6.9 |
| 6 | 0.00 | 2.6 |
| 7 | 0.00 | 9.2 |
| 8 | 0.00 | 7.8 |
| 9 | 0.00 | 8.0 |
| 10 | 0.00 | 13.3 |
| 11 | 0.00 | 17.0 |
| 12 | 0.52 | 20.1 |
| 13 | 0.00 | 5.5 |
| 14 | 0.00 | 6.8 |
| 15 | 0.00 | 7.9 |
| 16 | 0.00 | 11.2 |
| 17 | 0.00 | 8.7 |